# 1
First-principles (PBE-GGA) data for a geometry-optimized SrRhBr2 structure, as listed in Alexandria via LeMat-Bulk.

The structure in CIF format:
```
data_SrRhBr2
_chemical_formula_sum 'Sr1 Rh1 Br2'
_symmetry_space_group_name_H-M 'P m m m'
_symmetry_Int_Tables_number 47
_symmetry_space_group_name_Hall '-P 2 2'
_cell_length_a 3.892
_cell_length_b 4.953
_cell_length_c 4.964
_cell_angle_alpha 90.00
_cell_angle_beta 90.00
_cell_angle_gamma 90.00
loop_
_atom_site_label
_atom_site_fract_x
_atom_site_fract_y
_atom_site_fract_z
Sr1 0.000 0.000 0.000
Rh1 0.000 0.500 0.500
Br1 0.500 0.000 0.500
Br2 0.500 0.500 0.000
```

Computed properties:
Raw formation energy, eV per atom: -0.599

---

# 2
First-principles (PBE-GGA) data for a geometry-optimized BaDy2ReN4 structure, as listed in Alexandria via LeMat-Bulk.

The structure in CIF format:
```
data_BaDy2ReN4
_chemical_formula_sum 'Ba4 Dy8 Re4 N16'
_symmetry_space_group_name_H-M 'C m c m'
_symmetry_Int_Tables_number 63
_symmetry_space_group_name_Hall '-C 2c 2'
_cell_length_a 3.493
_cell_length_b 12.391
_cell_length_c 12.209
_cell_angle_alpha 90.00
_cell_angle_beta 90.00
_cell_angle_gamma 90.00
loop_
_atom_site_label
_atom_site_fract_x
_atom_site_fract_y
_atom_site_fract_z
Ba1 0.000 0.066 0.250
Dy1 0.000 0.371 0.040
Re1 0.000 0.195 0.750
N1 0.000 0.000 0.000
N2 0.000 0.255 0.608
N3 0.000 0.387 0.250
```

Computed properties:
Raw formation energy, eV per atom: -0.975

---

# 3
First-principles (PBE-GGA) data for a geometry-optimized TbPr6Ho2Mg structure, as listed in Alexandria via LeMat-Bulk.

The structure in CIF format:
```
data_TbPr6Ho2Mg
_chemical_formula_sum 'Tb4 Pr24 Ho8 Mg4'
_symmetry_space_group_name_H-M 'C 1 2/c 1'
_symmetry_Int_Tables_number 15
_symmetry_space_group_name_Hall '-C 2yc'
_cell_length_a 9.478
_cell_length_b 14.875
_cell_length_c 9.752
_cell_angle_alpha 90.00
_cell_angle_beta 99.10
_cell_angle_gamma 90.00
loop_
_atom_site_label
_atom_site_fract_x
_atom_site_fract_y
_atom_site_fract_z
Tb1 0.000 0.023 0.250
Pr1 0.063 0.179 0.949
Pr2 0.098 0.401 0.109
Pr3 0.219 0.216 0.307
Ho1 0.242 0.046 0.557
Mg1 0.000 0.407 0.750
```

Computed properties:
Formation energy from the elements, eV per atom: 0.12

---

# 4
First-principles (PBE-GGA) data for a geometry-optimized Al3SiNi3 structure, as listed in Alexandria via LeMat-Bulk.

The structure in CIF format:
```
data_Al3SiNi3
_chemical_formula_sum 'Al6 Si2 Ni6'
_symmetry_space_group_name_H-M 'P 63/m'
_symmetry_Int_Tables_number 176
_symmetry_space_group_name_Hall '-P 6c'
_cell_length_a 6.8841
_cell_length_b 6.8841
_cell_length_c 4.2630
_cell_angle_alpha 90.00
_cell_angle_beta 90.00
_cell_angle_gamma 120.00
loop_
_atom_site_label
_atom_site_fract_x
_atom_site_fract_y
_atom_site_fract_z
Al1 0.0369 0.2529 0.2500
Si1 0.3333 0.6667 0.2500
Ni1 0.0895 0.4637 0.7500
```

Computed properties:
Raw formation energy, eV per atom: -0.378

---

# 5
First-principles (PBE-GGA) data for a geometry-optimized NaSr3Li structure, as listed in Alexandria via LeMat-Bulk.

The structure in CIF format:
```
data_NaSr3Li
_chemical_formula_sum 'Na2 Sr6 Li2'
_symmetry_space_group_name_H-M 'P -1'
_symmetry_Int_Tables_number 2
_symmetry_space_group_name_Hall '-P 1'
_cell_length_a 4.257
_cell_length_b 10.062
_cell_length_c 10.827
_cell_angle_alpha 86.14
_cell_angle_beta 89.94
_cell_angle_gamma 77.93
loop_
_atom_site_label
_atom_site_fract_x
_atom_site_fract_y
_atom_site_fract_z
Na1 0.090 0.318 0.437
Sr1 0.099 0.303 0.079
Sr2 0.252 0.997 0.682
Sr3 0.441 0.619 0.265
Li1 0.285 0.931 0.066
```

Computed properties:
Formation energy from the elements, eV per atom: 0.03

---

# 6
First-principles (PBE-GGA) data for a geometry-optimized Na3Er3PaSe8 structure, as listed in Alexandria via LeMat-Bulk.

The structure in CIF format:
```
data_Na3Er3PaSe8
_chemical_formula_sum 'Na9 Er9 Pa3 Se24'
_symmetry_space_group_name_H-M 'R -3 m'
_symmetry_Int_Tables_number 166
_symmetry_space_group_name_Hall '-R 3 2"'
_cell_length_a 8.2502
_cell_length_b 8.2502
_cell_length_c 21.1281
_cell_angle_alpha 90.00
_cell_angle_beta 90.00
_cell_angle_gamma 120.00
loop_
_atom_site_label
_atom_site_fract_x
_atom_site_fract_y
_atom_site_fract_z
Na1 0.0000 0.5000 0.0000
Er1 0.0000 0.5000 0.5000
Pa1 0.0000 0.0000 0.5000
Se1 0.0000 0.0000 0.2423
Se2 0.0018 0.5009 0.7582
```

Computed properties:
Raw formation energy, eV per atom: -1.622

---

Number 1: energy -3.694 eV per atom, density of states at the Fermi level 2.31 states/eV/cell. Number 2: energy -8.085 eV per atom, density of states at the Fermi level 8.34 states/eV/cell. Number 3: energy -4.290 eV per atom, density of states at the Fermi level 61.84 states/eV/cell. Number 4: energy -5.234 eV per atom, density of states at the Fermi level 5.59 states/eV/cell. Number 5: energy -1.626 eV per atom, density of states at the Fermi level 7.94 states/eV/cell. Number 6: energy -5.289 eV per atom, density of states at the Fermi level 9.63 states/eV/cell.